[1]
# TbHo5Tm7 PBE-GGA relaxed
# Symmetry   Imm2 (44)
# M_tot   0.00 μB/atom
# Final energy   -4.259 eV/atom
# ΔH_f (0 K)   265 meV/atom
data_TbHo5Tm7
_chemical_formula_sum 'Tb1 Ho5 Tm7'
_cell_length_a 8.5686
_cell_length_b 8.5686
_cell_length_c 8.5686
_cell_angle_alpha 134.65
_cell_angle_beta 100.26
_cell_angle_gamma 96.85
_symmetry_space_group_name_H-M 'P 1'
_symmetry_Int_Tables_number 1
_symmetry_space_group_name_Hall 'P 1'
loop_
_atom_site_label
_atom_site_type_symbol
_atom_site_fract_x
_atom_site_fract_y
_atom_site_fract_z
Tb1 Tb 0.0000 0.0000 0.0000
Ho1 Ho 0.1961 0.6961 0.5000
Ho2 Ho 0.4239 0.4294 0.4592
Ho3 Ho 0.4239 0.9648 0.9945
Ho4 Ho 0.9703 0.4294 0.0055
Ho5 Ho 0.9703 0.9648 0.5408
Tm1 Tm 0.1165 0.4462 0.6703
Tm2 Tm 0.2784 0.9473 0.3311
Tm3 Tm 0.3877 0.3877 0.0000
Tm4 Tm 0.6162 0.9473 0.6689
Tm5 Tm 0.6937 0.6937 0.0000
Tm6 Tm 0.6973 0.1973 0.5000
Tm7 Tm 0.7759 0.4462 0.3297

[2]
# Tb9Ho2Tm3 PBE-GGA relaxed
# Symmetry   P-1 (2)
# M_tot   0.00 μB/atom
# Final energy   -4.571 eV/atom
# ΔH_f (0 K)   17 meV/atom
data_Tb9Ho2Tm3
_chemical_formula_sum 'Tb9 Ho2 Tm3'
_cell_length_a 6.1117
_cell_length_b 9.3434
_cell_length_c 9.3476
_cell_angle_alpha 110.85
_cell_angle_beta 109.05
_cell_angle_gamma 102.69
_symmetry_space_group_name_H-M 'P 1'
_symmetry_Int_Tables_number 1
_symmetry_space_group_name_Hall 'P 1'
loop_
_atom_site_label
_atom_site_type_symbol
_atom_site_fract_x
_atom_site_fract_y
_atom_site_fract_z
Tb1 Tb 0.0000 0.0000 0.0000
Tb2 Tb 0.2143 0.0722 0.7142
Tb3 Tb 0.2859 0.4294 0.2857
Tb4 Tb 0.3561 0.7842 0.8564
Tb5 Tb 0.4294 0.1434 0.4291
Tb6 Tb 0.5706 0.8566 0.5709
Tb7 Tb 0.6439 0.2158 0.1436
Tb8 Tb 0.7141 0.5706 0.7143
Tb9 Tb 0.7857 0.9278 0.2858
Ho1 Ho 0.1417 0.7132 0.1426
Ho2 Ho 0.8583 0.2868 0.8574
Tm1 Tm 0.0720 0.3578 0.5721
Tm2 Tm 0.5000 0.5000 0.0000
Tm3 Tm 0.9280 0.6422 0.4279

[3]
# TbHoTm PBE-GGA relaxed
# Symmetry   P-6m2 (187)
# M_tot   0.00 μB/atom
# Final energy   -2.923 eV/atom
# ΔH_f (0 K)   1637 meV/atom
data_TbHoTm
_chemical_formula_sum 'Tb1 Ho1 Tm1'
_cell_length_a 5.1287
_cell_length_b 5.1287
_cell_length_c 5.8737
_cell_angle_alpha 90.00
_cell_angle_beta 90.00
_cell_angle_gamma 120.00
_symmetry_space_group_name_H-M 'P 1'
_symmetry_Int_Tables_number 1
_symmetry_space_group_name_Hall 'P 1'
loop_
_atom_site_label
_atom_site_type_symbol
_atom_site_fract_x
_atom_site_fract_y
_atom_site_fract_z
Tb1 Tb 0.0000 0.0000 0.0000
Ho1 Ho 0.3333 0.6667 0.5000
Tm1 Tm 0.3333 0.6667 0.0000

[4]
# Tb2HoTm2 PBE-GGA relaxed
# Symmetry   P4/mbm (127)
# M_tot   0.00 μB/atom
# Final energy   -4.465 eV/atom
# ΔH_f (0 K)   91 meV/atom
data_Tb2HoTm2
_chemical_formula_sum 'Tb4 Ho2 Tm4'
_cell_length_a 9.1752
_cell_length_b 9.1752
_cell_length_c 3.6984
_cell_angle_alpha 90.00
_cell_angle_beta 90.00
_cell_angle_gamma 90.00
_symmetry_space_group_name_H-M 'P 1'
_symmetry_Int_Tables_number 1
_symmetry_space_group_name_Hall 'P 1'
loop_
_atom_site_label
_atom_site_type_symbol
_atom_site_fract_x
_atom_site_fract_y
_atom_site_fract_z
Tb1 Tb 0.1285 0.3715 0.0000
Tb2 Tb 0.3715 0.8715 0.0000
Tb3 Tb 0.6285 0.1285 0.0000
Tb4 Tb 0.8715 0.6285 0.0000
Ho1 Ho 0.0000 0.0000 0.0000
Ho2 Ho 0.5000 0.5000 0.0000
Tm1 Tm 0.1699 0.6699 0.5000
Tm2 Tm 0.3301 0.1699 0.5000
Tm3 Tm 0.6699 0.8301 0.5000
Tm4 Tm 0.8301 0.3301 0.5000

[5]
# Tb5Ho4Tm3 PBE-GGA relaxed
# Symmetry   C2/m (12)
# M_tot   0.03 μB/atom
# Final energy   -4.330 eV/atom
# ΔH_f (0 K)   243 meV/atom
data_Tb5Ho4Tm3
_chemical_formula_sum 'Tb5 Ho4 Tm3'
_cell_length_a 8.5182
_cell_length_b 8.5182
_cell_length_c 9.1875
_cell_angle_alpha 115.12
_cell_angle_beta 115.12
_cell_angle_gamma 39.89
_symmetry_space_group_name_H-M 'P 1'
_symmetry_Int_Tables_number 1
_symmetry_space_group_name_Hall 'P 1'
loop_
_atom_site_label
_atom_site_type_symbol
_atom_site_fract_x
_atom_site_fract_y
_atom_site_fract_z
Tb1 Tb 0.0000 0.0000 0.0000
Tb2 Tb 0.3265 0.3265 0.6148
Tb3 Tb 0.4252 0.4252 0.2975
Tb4 Tb 0.5748 0.5748 0.7025
Tb5 Tb 0.6735 0.6735 0.3852
Ho1 Ho 0.0801 0.0801 0.4386
Ho2 Ho 0.2147 0.2147 0.8778
Ho3 Ho 0.7853 0.7853 0.1222
Ho4 Ho 0.9199 0.9199 0.5614
Tm1 Tm 0.2093 0.2093 0.2300
Tm2 Tm 0.5000 0.5000 0.0000
Tm3 Tm 0.7907 0.7907 0.7700

[6]
# Tb2Ho2Tm5 PBE-GGA relaxed
# Symmetry   Ima2 (46)
# M_tot   0.00 μB/atom
# Final energy   -4.304 eV/atom
# ΔH_f (0 K)   227 meV/atom
data_Tb2Ho2Tm5
_chemical_formula_sum 'Tb4 Ho4 Tm10'
_cell_length_a 9.9372
_cell_length_b 9.9372
_cell_length_c 9.9372
_cell_angle_alpha 84.21
_cell_angle_beta 108.96
_cell_angle_gamma 140.90
_symmetry_space_group_name_H-M 'P 1'
_symmetry_Int_Tables_number 1
_symmetry_space_group_name_Hall 'P 1'
loop_
_atom_site_label
_atom_site_type_symbol
_atom_site_fract_x
_atom_site_fract_y
_atom_site_fract_z
Tb1 Tb 0.0081 0.1277 0.1358
Tb2 Tb 0.0081 0.3723 0.3804
Tb3 Tb 0.9919 0.6277 0.6196
Tb4 Tb 0.9919 0.8723 0.8642
Ho1 Ho 0.4443 0.4443 0.0000
Ho2 Ho 0.4443 0.9443 0.5000
Ho3 Ho 0.5385 0.8038 0.2347
Ho4 Ho 0.5692 0.3038 0.7653
Tm1 Tm 0.0928 0.4745 0.9032
Tm2 Tm 0.0928 0.6896 0.1183
Tm3 Tm 0.1035 0.0962 0.5073
Tm4 Tm 0.4113 0.2055 0.3127
Tm5 Tm 0.4113 0.5986 0.7058
Tm6 Tm 0.5713 0.1896 0.0968
Tm7 Tm 0.5713 0.9745 0.8817
Tm8 Tm 0.5888 0.5962 0.4927
Tm9 Tm 0.8928 0.0986 0.6873
Tm10 Tm 0.8928 0.7055 0.2942

Which value of M_tot does entry 6 give? 0.00 μB/atom

Copy entry 1 word for word.
# TbHo5Tm7 PBE-GGA relaxed
# Symmetry   Imm2 (44)
# M_tot   0.00 μB/atom
# Final energy   -4.259 eV/atom
# ΔH_f (0 K)   265 meV/atom
data_TbHo5Tm7
_chemical_formula_sum 'Tb1 Ho5 Tm7'
_cell_length_a 8.5686
_cell_length_b 8.5686
_cell_length_c 8.5686
_cell_angle_alpha 134.65
_cell_angle_beta 100.26
_cell_angle_gamma 96.85
_symmetry_space_group_name_H-M 'P 1'
_symmetry_Int_Tables_number 1
_symmetry_space_group_name_Hall 'P 1'
loop_
_atom_site_label
_atom_site_type_symbol
_atom_site_fract_x
_atom_site_fract_y
_atom_site_fract_z
Tb1 Tb 0.0000 0.0000 0.0000
Ho1 Ho 0.1961 0.6961 0.5000
Ho2 Ho 0.4239 0.4294 0.4592
Ho3 Ho 0.4239 0.9648 0.9945
Ho4 Ho 0.9703 0.4294 0.0055
Ho5 Ho 0.9703 0.9648 0.5408
Tm1 Tm 0.1165 0.4462 0.6703
Tm2 Tm 0.2784 0.9473 0.3311
Tm3 Tm 0.3877 0.3877 0.0000
Tm4 Tm 0.6162 0.9473 0.6689
Tm5 Tm 0.6937 0.6937 0.0000
Tm6 Tm 0.6973 0.1973 0.5000
Tm7 Tm 0.7759 0.4462 0.3297

Copy entry 4 word for word.
# Tb2HoTm2 PBE-GGA relaxed
# Symmetry   P4/mbm (127)
# M_tot   0.00 μB/atom
# Final energy   -4.465 eV/atom
# ΔH_f (0 K)   91 meV/atom
data_Tb2HoTm2
_chemical_formula_sum 'Tb4 Ho2 Tm4'
_cell_length_a 9.1752
_cell_length_b 9.1752
_cell_length_c 3.6984
_cell_angle_alpha 90.00
_cell_angle_beta 90.00
_cell_angle_gamma 90.00
_symmetry_space_group_name_H-M 'P 1'
_symmetry_Int_Tables_number 1
_symmetry_space_group_name_Hall 'P 1'
loop_
_atom_site_label
_atom_site_type_symbol
_atom_site_fract_x
_atom_site_fract_y
_atom_site_fract_z
Tb1 Tb 0.1285 0.3715 0.0000
Tb2 Tb 0.3715 0.8715 0.0000
Tb3 Tb 0.6285 0.1285 0.0000
Tb4 Tb 0.8715 0.6285 0.0000
Ho1 Ho 0.0000 0.0000 0.0000
Ho2 Ho 0.5000 0.5000 0.0000
Tm1 Tm 0.1699 0.6699 0.5000
Tm2 Tm 0.3301 0.1699 0.5000
Tm3 Tm 0.6699 0.8301 0.5000
Tm4 Tm 0.8301 0.3301 0.5000

Which value of ΔH_f (0 K) does entry 6 give? 227 meV/atom